1.
Entry from Alexandria via LeMat-Bulk: a relaxed SmHo2Be crystal (GGA-PBE).

abc: 3.4495 3.4495 34.1688
angles: 90.00 90.00 120.00
Element x y z (fractional)
Sm 0.0000 0.0000 0.0000
Sm 0.3333 0.6667 0.6667
Sm 0.6667 0.3333 0.3333
Ho 0.0000 0.0000 0.4163
Ho 0.0000 0.0000 0.5837
Ho 0.3333 0.6667 0.0829
Ho 0.3333 0.6667 0.2504
Ho 0.6667 0.3333 0.7496
Ho 0.6667 0.3333 0.9171
Be 0.0000 0.0000 0.5000
Be 0.3333 0.6667 0.1667
Be 0.6667 0.3333 0.8333

Output
Calculated volume in Å³/f.u.: 117.37
DOS at the Fermi energy in states/eV/f.u.: 4.488
Relative energy among the computed polymorphs in meV/atom: 633
Size of the total moment in μB per formula unit: 0.0
Density in g/cm³: 6.92

---

2.
Entry from Alexandria via LeMat-Bulk: a relaxed HoTaBe17 crystal (GGA-PBE).

abc: 5.6709 5.6709 5.6709
angles: 82.91 82.91 82.91
Element x y z (fractional)
Ho 0.0000 0.0000 0.0000
Ta 0.6741 0.6741 0.6741
Be 0.0500 0.3414 0.6235
Be 0.0500 0.6235 0.3414
Be 0.1822 0.6785 0.6785
Be 0.2460 0.2460 0.2460
Be 0.3414 0.0500 0.6235
Be 0.3414 0.6235 0.0500
Be 0.3428 0.3428 0.8366
Be 0.3428 0.8366 0.3428
Be 0.4380 0.4380 0.4380
Be 0.5004 0.9922 0.9922
Be 0.6235 0.0500 0.3414
Be 0.6235 0.3414 0.0500
Be 0.6785 0.1822 0.6785
Be 0.6785 0.6785 0.1822
Be 0.8366 0.3428 0.3428
Be 0.9922 0.5004 0.9922
Be 0.9922 0.9922 0.5004

Output
Calculated volume in Å³/f.u.: 178.51
DOS at the Fermi energy in states/eV/f.u.: 4.985
Final energy in eV/f.u.: -82.863
Size of the total moment in μB per formula unit: 0.0
Density in g/cm³: 4.64

---

3.
Entry from Alexandria via LeMat-Bulk: a relaxed TbHoBe4 crystal (GGA-PBE).

abc: 5.0286 5.0286 5.0286
angles: 60.00 60.00 60.00
Element x y z (fractional)
Tb 0.0000 0.0000 0.0000
Ho 0.2500 0.2500 0.2500
Be 0.1246 0.6251 0.6251
Be 0.6251 0.1246 0.6251
Be 0.6251 0.6251 0.1246
Be 0.6251 0.6251 0.6251

Output
Calculated volume in Å³/f.u.: 89.91
DOS at the Fermi energy in states/eV/f.u.: 3.487
Final energy in eV/f.u.: -23.573
Size of the total moment in μB per formula unit: 0.0
Density in g/cm³: 6.65

---

4.
Entry from Alexandria via LeMat-Bulk: a relaxed TbHoBeZn crystal (GGA-PBE).

abc: 6.9892 6.9892 6.9892
angles: 90.00 90.00 90.00
Element x y z (fractional)
Tb 0.0000 0.0000 0.0000
Tb 0.0000 0.5000 0.5000
Tb 0.5000 0.0000 0.5000
Tb 0.5000 0.5000 0.0000
Ho 0.0000 0.0000 0.5000
Ho 0.0000 0.5000 0.0000
Ho 0.5000 0.0000 0.0000
Ho 0.5000 0.5000 0.5000
Be 0.2500 0.2500 0.7500
Be 0.2500 0.7500 0.2500
Be 0.7500 0.2500 0.2500
Be 0.7500 0.7500 0.7500
Zn 0.2500 0.2500 0.2500
Zn 0.2500 0.7500 0.7500
Zn 0.7500 0.2500 0.7500
Zn 0.7500 0.7500 0.2500

Output
Calculated volume in Å³/f.u.: 85.35
DOS at the Fermi energy in states/eV/f.u.: 4.175
Final energy in eV/f.u.: -14.631
Size of the total moment in μB per formula unit: 0.0
Density in g/cm³: 7.75

---

5.
Entry from Alexandria via LeMat-Bulk: a relaxed HoBe17Tc crystal (GGA-PBE).

abc: 5.6340 5.6340 5.6340
angles: 82.99 82.99 82.99
Element x y z (fractional)
Ho 0.0000 0.0000 0.0000
Be 0.0444 0.3465 0.6275
Be 0.0444 0.6275 0.3465
Be 0.1924 0.6790 0.6790
Be 0.2484 0.2484 0.2484
Be 0.3393 0.3393 0.8410
Be 0.3393 0.8410 0.3393
Be 0.3465 0.0444 0.6275
Be 0.3465 0.6275 0.0444
Be 0.4417 0.4417 0.4417
Be 0.5054 0.9896 0.9896
Be 0.6275 0.0444 0.3465
Be 0.6275 0.3465 0.0444
Be 0.6790 0.1924 0.6790
Be 0.6790 0.6790 0.1924
Be 0.8410 0.3393 0.3393
Be 0.9896 0.5054 0.9896
Be 0.9896 0.9896 0.5054
Tc 0.6711 0.6711 0.6711

Output
Calculated volume in Å³/f.u.: 175.12
DOS at the Fermi energy in states/eV/f.u.: 4.884
Final energy in eV/f.u.: -80.517
Size of the total moment in μB per formula unit: 0.0
Density in g/cm³: 3.95

---

6.
Entry from Alexandria via LeMat-Bulk: a relaxed HoBe9Tc2 crystal (GGA-PBE).

abc: 4.4660 4.4660 14.3994
angles: 90.00 90.00 120.00
Element x y z (fractional)
Ho 0.3333 0.6667 0.2500
Ho 0.6667 0.3333 0.7500
Be 0.0000 0.0000 0.0000
Be 0.0000 0.0000 0.2500
Be 0.0000 0.0000 0.5000
Be 0.0000 0.0000 0.7500
Be 0.1695 0.3390 0.6200
Be 0.1695 0.3390 0.8800
Be 0.1695 0.8305 0.6200
Be 0.1695 0.8305 0.8800
Be 0.3333 0.6667 0.7500
Be 0.3390 0.1695 0.1200
Be 0.3390 0.1695 0.3800
Be 0.6610 0.8305 0.6200
Be 0.6610 0.8305 0.8800
Be 0.6667 0.3333 0.2500
Be 0.8305 0.1695 0.1200
Be 0.8305 0.1695 0.3800
Be 0.8305 0.6610 0.1200
Be 0.8305 0.6610 0.3800
Tc 0.3333 0.6667 0.0304
Tc 0.3333 0.6667 0.4696
Tc 0.6667 0.3333 0.5304
Tc 0.6667 0.3333 0.9696

Output
Calculated volume in Å³/f.u.: 124.36
DOS at the Fermi energy in states/eV/f.u.: 4.441
Final energy in eV/f.u.: -62.009
Size of the total moment in μB per formula unit: 0.0
Density in g/cm³: 5.90

---

7.
Entry from Alexandria via LeMat-Bulk: a relaxed HoZrBeTc crystal (GGA-PBE).

abc: 6.6671 6.6671 6.6671
angles: 90.00 90.00 90.00
Element x y z (fractional)
Ho 0.0000 0.0000 0.0000
Ho 0.0000 0.5000 0.5000
Ho 0.5000 0.0000 0.5000
Ho 0.5000 0.5000 0.0000
Zr 0.0000 0.0000 0.5000
Zr 0.0000 0.5000 0.0000
Zr 0.5000 0.0000 0.0000
Zr 0.5000 0.5000 0.5000
Be 0.2500 0.2500 0.2500
Be 0.2500 0.7500 0.7500
Be 0.7500 0.2500 0.7500
Be 0.7500 0.7500 0.2500
Tc 0.2500 0.2500 0.7500
Tc 0.2500 0.7500 0.2500
Tc 0.7500 0.2500 0.2500
Tc 0.7500 0.7500 0.7500

Output
Calculated volume in Å³/f.u.: 74.09
DOS at the Fermi energy in states/eV/f.u.: 4.209
Final energy in eV/f.u.: -27.390
Size of the total moment in μB per formula unit: 0.0
Density in g/cm³: 8.14

---

8.
Entry from Alexandria via LeMat-Bulk: a relaxed Ho2BeTe crystal (GGA-PBE).

abc: 3.8888 3.8888 29.1119
angles: 90.00 90.00 120.00
Element x y z (fractional)
Ho 0.0000 0.0000 0.0974
Ho 0.0000 0.0000 0.9026
Ho 0.3333 0.6667 0.5693
Ho 0.3333 0.6667 0.7640
Ho 0.6667 0.3333 0.2360
Ho 0.6667 0.3333 0.4307
Be 0.0000 0.0000 0.0000
Be 0.3333 0.6667 0.6667
Be 0.6667 0.3333 0.3333
Te 0.0000 0.0000 0.5000
Te 0.3333 0.6667 0.1667
Te 0.6667 0.3333 0.8333

Output
Calculated volume in Å³/f.u.: 127.09
DOS at the Fermi energy in states/eV/f.u.: 4.662
Formation energy (no corrections) in eV per formula unit: 1.17
Size of the total moment in μB per formula unit: 0.0
Density in g/cm³: 6.09